Compound: MnAgIr
Source: the Alexandria database
Functional: PBE-GGA
Structure: relaxed

```
3
Lattice="-3.504 5.661 -2.800 -3.372 3.773 -4.821 -2.413 0.143 1.349" Properties=species:S:1:pos:R:3 pbc="T T T"
Mn -5.423 6.409 -4.699
Ag -2.429 0.177 1.317
Ir -3.851 3.135 -1.540
```

Values from the calculation:
Energy above the most stable polymorph in this dataset, kcal/mol of atoms: 1.696
Fermi-level density of states, states/eV/atom: 0.6287
Formation energy, eV/f.u.: 0.75
E_tot, eV per atom: -6.71